*1*
The following is a DFT calculation (PBE) of an optimized crystal structure of SiSn2As.

Summary:
D(E_F): 4.5 states/eV per cell
size of the total moment: 0.0 μB/f.u.
volume: 121.4 Å³/f.u.

abc: 6.252 6.252 7.626
angles: 65.80 65.80 90.00
Fractional coordinates of all 8 atoms:
Si (0.500, 0.500, 0.000)
Si (0.250, 0.750, 0.500)
As (0.750, 0.250, 0.500)
As (0.000, 0.000, 0.000)
Sn (0.141, 0.625, 0.250)
Sn (0.609, 0.125, 0.250)
Sn (0.875, 0.859, 0.750)
Sn (0.375, 0.391, 0.750)

=====

*2*
The following is a DFT calculation (PBE) of an optimized crystal structure of SiSn2As.

Summary:
D(E_F): 2.2 states/eV per cell
size of the total moment: 0.0 μB/f.u.
volume: 89.4 Å³/f.u.

abc: 5.019 5.019 5.019
angles: 60.00 60.00 60.00
Fractional coordinates of all 4 atoms:
As (0.500, 0.500, 0.500)
Si (0.000, 0.000, 0.000)
Sn (0.250, 0.250, 0.250)
Sn (0.750, 0.750, 0.750)

=====

Least stable structure among those shown: *2*.